1.
Density functional theory data (PBE) for a relaxed YTaRh3 crystal.

Unit cell a=4.752 b=4.752 c=4.752 alpha=90.00 beta=90.00 gamma=90.00
Element x y z (fractional)
1 Y 0.500 0.500 0.500
2 Rh 0.500 0.000 0.000
3 Rh 0.000 0.500 0.000
4 Rh 0.000 0.000 0.500
5 Ta 0.000 0.000 0.000

Crystal system: cubic
DOS at the Fermi energy, states/eV/f.u.: 6.399
ΔE to the lowest computed polymorph, kJ/mol of formula units: 0

2.
Density functional theory data (PBE) for a relaxed Pm2MnCd crystal.

Unit cell a=3.637 b=3.637 c=7.887 alpha=90.00 beta=90.00 gamma=90.00
Site moments in Bohr magnetons follow the coordinates.
Element x y z (fractional)
1 Pm 0.000 0.000 0.771  -0.22
2 Pm 0.000 0.000 0.229  -0.22
3 Mn 0.500 0.500 0.000  3.53
4 Cd 0.500 0.500 0.500  0.01

Crystal system: tetragonal
DOS at the Fermi energy, states/eV/f.u.: 4.035
ΔE to the lowest computed polymorph, kJ/mol of formula units: 0

3.
Density functional theory data (PBE) for a relaxed PmHo6In5 crystal.

Unit cell a=4.981 b=8.749 c=9.056 alpha=118.88 beta=105.93 gamma=90.02
Element x y z (fractional)
1 Ho 0.170 0.434 0.340
2 Ho 0.500 0.726 0.000
3 Ho 0.830 0.566 0.660
4 Ho 0.830 0.094 0.660
5 Ho 0.500 0.274 0.000
6 Ho 0.170 0.906 0.340
7 In 0.347 0.847 0.694
8 In 0.653 0.153 0.306
9 In 0.322 0.322 0.644
10 In 0.000 0.500 0.000
11 In 0.678 0.678 0.356
12 Pm 0.000 0.000 0.000

Crystal system: orthorhombic
Uncorrected energy, eV/cell: -50.4
DOS at the Fermi energy, states/eV/f.u.: 11.742